(1)
CaMgTa2: relaxed, PBE.

Summary:
Energy of formation from the pure elements, eV per atom: 0.484
Raw total energy, eV for the cell shown: -25.36
Symmetry: Cm (8)

Cell and atoms, written as extended XYZ:
```
4
Lattice="5.143 -0.005 0.004 4.307 2.810 0.004 0.509 0.151 6.149" Properties=species:S:1:pos:R:3 pbc="T T T"
Ca 4.976 1.477 3.068
Mg 2.558 0.759 1.394
Ta 0.531 0.158 5.944
Ta 7.382 2.192 4.978
```

=====

(2)
LaZn4Ag8: relaxed, PBE.

Summary:
Energy of formation from the pure elements, eV per atom: -0.146
Raw total energy, eV for the cell shown: -34.73
Symmetry: I4/mmm (139)

Cell and atoms, written as extended XYZ:
```
13
Lattice="5.312 0.000 0.000 2.656 6.700 0.000 2.656 0.000 6.700" Properties=species:S:1:pos:R:3 pbc="T T T"
La 0.000 0.000 0.000
Zn 1.328 0.000 3.350
Zn 3.984 0.000 3.350
Zn 1.328 3.350 0.000
Zn 3.984 3.350 0.000
Ag 2.656 2.335 4.365
Ag 2.656 4.365 2.335
Ag 5.312 4.365 4.365
Ag 5.312 2.335 2.335
Ag 5.312 5.236 1.464
Ag 5.312 1.464 5.236
Ag 2.656 1.464 1.464
Ag 7.967 5.236 5.236
```

=====

(3)
BeSbTe2: relaxed, PBE.

Summary:
Raw total energy, eV for the cell shown: -12.23
Symmetry: P4/mmm (123)
Energy above the most stable polymorph in this dataset, eV per atom: 0.449
Raw formation energy, eV per atom: 0.476

Cell and atoms, written as extended XYZ:
```
4
Lattice="-3.200 -0.075 -1.284 -1.276 -0.222 3.195 -0.347 7.838 0.407" Properties=species:S:1:pos:R:3 pbc="T T T"
Sb -2.498 5.730 1.261
Te -0.020 0.441 0.023
Te -0.154 3.478 0.181
Be -2.325 1.811 1.057
```

=====

(4)
SbSNF2: relaxed, PBE.

Summary:
Raw total energy, eV for the cell shown: -20.50
Symmetry: P4/mmm (123)
Energy above the most stable polymorph in this dataset, eV per atom: 0.000
Raw formation energy, eV per atom: -0.037

Cell and atoms, written as extended XYZ:
```
5
Lattice="-3.966 1.365 -0.389 -1.297 -3.954 -0.649 -0.585 -0.499 4.212" Properties=species:S:1:pos:R:3 pbc="T T T"
Sb 0.000 0.000 0.000
S -2.924 -1.544 1.587
N -0.293 -0.249 2.106
F -0.649 -1.977 -0.324
F -1.983 0.682 -0.195
```

=====

no.,M_tot (μB per formula unit),D(E_F) (states/eV/atom)
1,0.000,0.72
2,0.000,0.48
3,0.000,0.53
4,0.790,0.70